[1]
## SiTcCl2 (SCAN)

Data for SiTcCl2 at its PBEsol-relaxed geometry.

POSCAR file:
```
SiTcCl2
1.0
1.495 0.863 9.004
-1.495 0.863 9.004
0.000 -1.726 9.004
Si Tc Cl
1 1 2
Direct
0.000 0.000 0.000
0.500 0.500 0.500
0.230 0.230 0.230
0.770 0.770 0.770
```

As for the volume: 69.7 Å³/cell. As for the offset from the most stable computed form: 737 meV/atom. The value obtained for the theoretical density is 4.7 g/cm³. The space group is R-3m, No. 166. The value obtained for the magnetic moment is 0.0 μB per cell. The final energy comes out at -14.8653 eV per atom. The value obtained for the raw formation energy is 0.3926 eV per atom.

[2]
## SiTc2Cl (SCAN)

Data for SiTc2Cl at its PBEsol-relaxed geometry.

POSCAR file:
```
SiTc2Cl
1.0
1.419 0.819 7.861
-1.419 0.819 7.861
0.000 -1.639 7.861
Si Tc Cl
1 2 1
Direct
0.000 0.000 0.000
0.252 0.252 0.252
0.748 0.748 0.748
0.500 0.500 0.500
```

As for the volume: 54.9 Å³/cell. As for the offset from the most stable computed form: 0 meV/atom. The value obtained for the theoretical density is 7.9 g/cm³. The space group is R-3m, No. 166. The value obtained for the magnetic moment is 0.0 μB per cell. The final energy comes out at -21.8639 eV per atom. The value obtained for the raw formation energy is 0.1645 eV per atom.

[3]
## SiTcCl2 (SCAN)

Data for SiTcCl2 at its PBEsol-relaxed geometry.

POSCAR file:
```
SiTcCl2
1.0
3.047 0.000 0.000
0.000 3.047 0.000
0.000 0.000 8.545
Si Tc Cl
1 1 2
Direct
0.000 0.000 0.000
0.500 0.500 0.141
0.000 0.000 0.761
0.500 0.500 0.399
```

As for the volume: 79.3 Å³/cell. As for the offset from the most stable computed form: 0 meV/atom. The value obtained for the theoretical density is 4.1 g/cm³. The space group is P4mm, No. 99. The value obtained for the magnetic moment is 0.0 μB per cell. The final energy comes out at -15.6021 eV per atom. The value obtained for the raw formation energy is -0.3443 eV per atom.

[4]
## Si2TcCl (SCAN)

Data for Si2TcCl at its PBEsol-relaxed geometry.

POSCAR file:
```
Si2TcCl
1.0
2.654 -3.652 0.000
2.654 3.652 0.000
0.000 0.000 2.907
Si Tc Cl
2 1 1
Direct
0.000 0.500 0.000
0.500 0.000 0.000
0.000 0.000 0.500
0.500 0.500 0.500
```

As for the volume: 56.4 Å³/cell. As for the offset from the most stable computed form: 84 meV/atom. The value obtained for the theoretical density is 5.6 g/cm³. The space group is Cmmm, No. 65. The value obtained for the magnetic moment is 0.0 μB per cell. The final energy comes out at -15.1757 eV per atom. The value obtained for the raw formation energy is 0.5917 eV per atom.

[5]
## SiTcCl (SCAN)

Data for SiTcCl at its PBEsol-relaxed geometry.

POSCAR file:
```
SiTcCl
1.0
3.089 0.000 0.000
-1.545 2.675 0.000
0.000 0.000 5.537
Si Tc Cl
1 1 1
Direct
0.000 0.000 0.000
0.333 0.667 0.725
0.667 0.333 0.367
```

As for the volume: 45.8 Å³/cell. As for the offset from the most stable computed form: 181 meV/atom. The value obtained for the theoretical density is 5.9 g/cm³. The space group is P3m1, No. 156. The value obtained for the magnetic moment is 0.0 μB per cell. The final energy comes out at -17.5733 eV per atom. The value obtained for the raw formation energy is 0.1113 eV per atom.

[6]
## SiTc2Cl (SCAN)

Data for SiTc2Cl at its PBEsol-relaxed geometry.

POSCAR file:
```
SiTc2Cl
1.0
2.802 0.000 0.000
0.000 3.844 0.000
0.000 0.000 5.296
Si Tc Cl
1 2 1
Direct
0.000 0.000 0.000
0.000 0.000 0.469
0.500 0.500 0.200
0.500 0.500 0.625
```

As for the volume: 57.0 Å³/cell. As for the offset from the most stable computed form: 92 meV/atom. The value obtained for the theoretical density is 7.6 g/cm³. The space group is Pmm2, No. 25. The value obtained for the magnetic moment is 0.0 μB per cell. The final energy comes out at -21.7718 eV per atom. The value obtained for the raw formation energy is 0.2566 eV per atom.

[7]
## SiTcCl2 (SCAN)

Data for SiTcCl2 at its PBEsol-relaxed geometry.

POSCAR file:
```
SiTcCl2
1.0
-2.036 2.036 3.681
2.036 -2.036 3.681
2.036 2.036 -3.681
Si Tc Cl
1 1 2
Direct
0.000 0.000 0.000
0.750 0.250 0.500
0.250 0.750 0.500
0.500 0.500 0.000
```

As for the volume: 61.0 Å³/cell. As for the offset from the most stable computed form: 1146 meV/atom. The value obtained for the theoretical density is 5.4 g/cm³. The space group is I-4m2, No. 119. The value obtained for the magnetic moment is 0.0 μB per cell. The final energy comes out at -14.4565 eV per atom. The value obtained for the raw formation energy is 0.8014 eV per atom.

[8]
## SiTc2Cl (SCAN)

Data for SiTc2Cl at its PBEsol-relaxed geometry.

POSCAR file:
```
SiTc2Cl
1.0
4.253 0.000 0.000
0.000 4.253 0.000
0.000 0.000 2.903
Si Tc Cl
1 2 1
Direct
0.000 0.000 0.000
0.000 0.500 0.500
0.500 0.000 0.500
0.500 0.500 0.000
```

As for the volume: 52.5 Å³/cell. As for the offset from the most stable computed form: 243 meV/atom. The value obtained for the theoretical density is 8.2 g/cm³. The space group is P4/mmm, No. 123. The value obtained for the magnetic moment is 0.0 μB per cell. The final energy comes out at -21.6214 eV per atom. The value obtained for the raw formation energy is 0.4070 eV per atom.

[9]
## SiTc4Cl (SCAN)

Data for SiTc4Cl at its PBEsol-relaxed geometry.

POSCAR file:
```
SiTc4Cl
1.0
0.000 3.588 3.588
3.588 0.000 3.588
3.588 3.588 0.000
Si Tc Cl
1 4 1
Direct
0.000 0.000 0.000
0.126 0.625 0.625
0.625 0.126 0.625
0.625 0.625 0.126
0.625 0.625 0.625
0.250 0.250 0.250
```

As for the volume: 92.4 Å³/cell. The value obtained for the theoretical density is 8.2 g/cm³. The space group is F-43m, No. 216. The value obtained for the magnetic moment is 0.0 μB per cell. The final energy comes out at -25.3571 eV per atom. The value obtained for the raw formation energy is 1.0151 eV per atom.

[10]
## SiTcCl (SCAN)

Data for SiTcCl at its PBEsol-relaxed geometry.

POSCAR file:
```
SiTcCl
1.0
-1.508 1.508 5.732
1.508 -1.508 5.732
1.508 1.508 -5.732
Si Tc Cl
1 1 1
Direct
0.000 0.000 0.000
0.600 0.600 0.000
0.810 0.810 0.000
```

As for the volume: 52.1 Å³/cell. As for the offset from the most stable computed form: 0 meV/atom. The value obtained for the theoretical density is 5.1 g/cm³. The space group is I4mm, No. 107. The value obtained for the magnetic moment is 1.4 μB per cell. The final energy comes out at -17.7540 eV per atom. The value obtained for the raw formation energy is -0.0695 eV per atom.

[11]
## Si2TcCl (SCAN)

Data for Si2TcCl at its PBEsol-relaxed geometry.

POSCAR file:
```
Si2TcCl
1.0
-2.875 2.875 5.318
2.875 -2.875 5.318
2.875 2.875 -5.318
Si Tc Cl
4 2 2
Direct
0.074 0.625 0.949
0.375 0.324 0.449
0.676 0.125 0.051
0.875 0.926 0.551
0.000 0.000 0.000
0.750 0.250 0.500
0.250 0.750 0.500
0.500 0.500 0.000
```

As for the volume: 175.9 Å³/cell. As for the offset from the most stable computed form: 0 meV/atom. The value obtained for the theoretical density is 3.6 g/cm³. The space group is I-42d, No. 122. The value obtained for the magnetic moment is 0.0 μB per cell. The final energy comes out at -15.2599 eV per atom. The value obtained for the raw formation energy is 0.5074 eV per atom.

[12]
## Si2TeCl (SCAN)

Data for Si2TeCl at its PBEsol-relaxed geometry.

POSCAR file:
```
Si2TeCl
1.0
3.686 -4.025 0.000
3.686 4.025 0.000
0.000 0.000 2.977
Si Te Cl
2 1 1
Direct
0.000 0.500 0.000
0.500 0.000 0.000
0.000 0.000 0.000
0.500 0.500 0.000
```

As for the volume: 88.3 Å³/cell. The value obtained for the theoretical density is 4.1 g/cm³. The space group is Cmmm, No. 65. The value obtained for the magnetic moment is 0.0 μB per cell. The final energy comes out at -15.8892 eV per atom. The value obtained for the raw formation energy is 0.4259 eV per atom.